First-principles (PBE) data for crystalline Cs3Y3NbSe8 at its relaxed geometry, as listed in Alexandria.

Output
Space group: R-3m, No. 166
Calculated volume (Å³/atom): 33.491
E_form (uncorrected) (eV/f.u.): -22.6

Unit cell a=9.787 b=9.787 c=9.787 alpha=49.75 beta=49.75 gamma=49.75
Positions (direct):
Cs: 0.000 0.500 0.500
Cs: 0.500 0.000 0.500
Cs: 0.500 0.500 0.000
Y: 0.000 0.000 0.500
Y: 0.000 0.500 0.000
Y: 0.500 0.000 0.000
Nb: 0.500 0.500 0.500
Se: 0.229 0.229 0.229
Se: 0.247 0.716 0.716
Se: 0.284 0.284 0.753
Se: 0.284 0.753 0.284
Se: 0.716 0.247 0.716
Se: 0.716 0.716 0.247
Se: 0.753 0.284 0.284
Se: 0.771 0.771 0.771